# 1
# Tb4B2I5

Crystalline Tb4B2I5 at its relaxed geometry (PBE, Alexandria).

Properties
DFT total energy = -50.26 eV per cell
mass density = 6.15 g/cm3
total magnetization = 0.00 μB/atom
space-group type = C2/m, No. 12

a b c (Å): 10.500 10.500 8.621
angles (deg): 101.64 101.64 22.01
Fractional positions:
Tb1 0.002 0.002 0.189
Tb2 0.344 0.344 0.920
Tb3 0.656 0.656 0.080
Tb4 0.998 0.998 0.811
B1 0.461 0.461 0.983
B2 0.539 0.539 0.017
I1 0.162 0.162 0.350
I2 0.171 0.171 0.818
I3 0.500 0.500 0.500
I4 0.829 0.829 0.182
I5 0.838 0.838 0.650

---

# 2
# TcB2I

Crystalline TcB2I at its relaxed geometry (PBE, Alexandria).

Properties
DFT total energy = -42.03 eV per cell
mass density = 5.48 g/cm3
total magnetization = 0.00 μB/atom
space-group type = I-42d, No. 122

a b c (Å): 6.352 6.352 6.352
angles (deg): 129.33 129.33 74.48
Fractional positions:
Tc1 0.000 0.000 0.000
Tc2 0.750 0.250 0.500
B1 0.029 0.625 0.904
B2 0.375 0.279 0.404
B3 0.721 0.125 0.096
B4 0.875 0.971 0.596
I1 0.250 0.750 0.500
I2 0.500 0.500 0.000